This record from the Alexandria database describes a relaxed structure of LiCo2Rh. The functional is PBE-GGA.

Cell lengths 4.0712, 4.0712, 4.0712 Å; angles 120.06, 120.06, 89.90 degrees
Each line ends with the local moment (μB).
Element x y z (fractional)
Co  0.0000  0.0000  0.0000  2.00
Co  0.2500  0.7500  0.5000  1.75
Li  0.5000  0.5000  0.0000  -0.02
Rh  0.7500  0.2500  0.5000  0.73

Crystal system ... cubic
Density ... 7.93 g cm⁻³

This record from the Alexandria database describes a relaxed structure of LiCo2Rh2. The functional is PBE-GGA.

Cell lengths 7.2902, 7.2902, 2.6305 Å; angles 90.00, 90.00, 90.00 degrees
Each line ends with the local moment (μB).
Element x y z (fractional)
Co  0.1655  0.6655  0.5000  1.74
Co  0.6655  0.8345  0.5000  1.74
Co  0.8345  0.3345  0.5000  1.74
Co  0.3345  0.1655  0.5000  1.74
Rh  0.3686  0.8686  0.0000  0.60
Rh  0.8686  0.6314  0.0000  0.60
Rh  0.6314  0.1314  0.0000  0.60
Rh  0.1314  0.3686  0.0000  0.60
Li  0.0000  0.0000  0.0000  -0.02
Li  0.5000  0.5000  0.0000  -0.02

Crystal system ... tetragonal
Density ... 7.85 g cm⁻³

This record from the Alexandria database describes a relaxed structure of LiCoRh2. The functional is PBE-GGA.

Cell lengths 2.6615, 3.8502, 5.0245 Å; angles 90.00, 90.00, 90.00 degrees
Each line ends with the local moment (μB).
Element x y z (fractional)
Co  0.0000  0.0000  0.4971  1.61
Li  0.5000  0.5000  0.7524  -0.02
Rh  0.0000  0.0000  0.9874  0.24
Rh  0.5000  0.5000  0.2631  0.29

Crystal system ... orthorhombic
Density ... 8.76 g cm⁻³

This record from the Alexandria database describes a relaxed structure of LiCo2Rh. The functional is PBE-GGA.

Cell lengths 3.8669, 3.5281, 3.5281 Å; angles 90.00, 90.00, 90.00 degrees
Each line ends with the local moment (μB).
Element x y z (fractional)
Co  0.0000  0.0000  0.0000  1.90
Co  0.0000  0.5000  0.5000  1.90
Li  0.5000  0.5000  0.0000  -0.05
Rh  0.5000  0.0000  0.5000  0.68

Crystal system ... tetragonal
Density ... 7.86 g cm⁻³

This record from the Alexandria database describes a relaxed structure of LiCo2Rh. The functional is PBE-GGA.

Cell lengths 4.8266, 4.8266, 3.9569 Å; angles 65.87, 65.87, 34.50 degrees
Each line ends with the local moment (μB).
Element x y z (fractional)
Co  0.0029  0.0029  0.9970  1.81
Co  0.4971  0.4971  0.5030  1.81
Li  0.7500  0.7500  0.7500  -0.04
Rh  0.2500  0.2500  0.2500  0.59

Crystal system ... orthorhombic
Density ... 8.01 g cm⁻³

This record from the Alexandria database describes a relaxed structure of LiCoRh2. The functional is PBE-GGA.

Cell lengths 4.4563, 4.4563, 2.6442 Å; angles 90.00, 90.00, 105.18 degrees
Each line ends with the local moment (μB).
Element x y z (fractional)
Co  0.5000  0.0000  0.5000  1.41
Li  0.0000  0.5000  0.5000  -0.02
Rh  0.0000  0.0000  0.0000  0.25
Rh  0.5000  0.5000  0.0000  0.25

Crystal system ... orthorhombic
Density ... 8.90 g cm⁻³

| no. | calculated formation energy (eV/atom) |
| --- | --- |
| 1 | 0.05 |
| 2 | 0.10 |
| 3 | 0.05 |
| 4 | 0.12 |
| 5 | 0.05 |
| 6 | 0.02 |